DFT (meta-GGA SCAN) results for BaDy2CuO5 at its PBEsol-relaxed geometry.

The structure in POSCAR format:
```
BaDy2CuO5
1.0
12.091 0.000 0.000
0.000 5.625 0.000
0.000 0.000 7.094
Ba Dy Cu O
4 8 4 20
Cartesian
1.159 1.406 0.490
4.887 4.219 4.037
7.204 1.406 3.057
10.932 4.219 6.604
0.902 4.219 2.819
2.562 1.406 4.359
3.484 4.219 0.813
5.144 1.406 6.366
6.947 4.219 0.728
8.607 1.406 6.281
9.529 4.219 2.734
11.189 1.406 4.274
1.940 4.219 5.565
4.106 1.406 2.018
7.985 4.219 5.075
10.151 1.406 1.529
0.808 2.848 4.716
0.808 5.589 4.716
1.218 4.219 0.580
2.750 0.021 2.523
2.750 2.792 2.523
3.295 2.833 6.070
3.295 5.604 6.070
4.828 1.406 4.127
5.237 0.036 1.170
5.237 2.777 1.170
6.854 2.848 5.924
6.854 5.589 5.924
7.263 4.219 2.966
8.796 0.021 1.024
8.796 2.792 1.024
9.340 2.833 4.570
9.340 5.604 4.570
10.873 1.406 6.513
11.283 0.036 2.377
11.283 2.777 2.377
```

Computed properties:
M_tot (μB per formula unit): 1.00
Uncorrected formation energy (eV/atom): -3.030